[1]
# ScBe2Os

A geometry-optimized ScBe2Os structure (PBE, Alexandria).

Results
- Calculated formation energy: -0.232 eV/atom
- Total DFT energy (no corrections): -6.49 eV per atom
- Energy relative to the lowest polymorph listed for this composition: 0.038 eV per atom

Structure (CIF):
```
data_ScBe2Os
_chemical_formula_sum 'Sc2 Be4 Os2'
_cell_length_a 3.853
_cell_length_b 3.853
_cell_length_c 6.807
_cell_angle_alpha 90.00
_cell_angle_beta 90.00
_cell_angle_gamma 90.00
_symmetry_space_group_name_H-M 'I 4/m m m'
_symmetry_Int_Tables_number 139
_symmetry_space_group_name_Hall '-I 4 2'
loop_
_atom_site_label
_atom_site_type_symbol
_atom_site_fract_x
_atom_site_fract_y
_atom_site_fract_z
_atom_site_occupancy
Sc1 Sc 0.000 0.000 0.000 1
Be1 Be 0.000 0.500 0.250 1
Os1 Os 0.000 0.000 0.500 1
```

***

[2]
# ScBe2Os

A geometry-optimized ScBe2Os structure (PBE, Alexandria).

Results
- Calculated formation energy: 0.058 eV/atom
- Total DFT energy (no corrections): -6.20 eV per atom
- Energy relative to the lowest polymorph listed for this composition: 0.327 eV per atom

Structure (CIF):
```
data_ScBe2Os
_chemical_formula_sum 'Sc2 Be4 Os2'
_cell_length_a 3.638
_cell_length_b 3.638
_cell_length_c 7.995
_cell_angle_alpha 90.00
_cell_angle_beta 90.00
_cell_angle_gamma 90.00
_symmetry_space_group_name_H-M 'I -4 m 2'
_symmetry_Int_Tables_number 119
_symmetry_space_group_name_Hall 'I -4 -2'
loop_
_atom_site_label
_atom_site_type_symbol
_atom_site_fract_x
_atom_site_fract_y
_atom_site_fract_z
_atom_site_occupancy
Sc1 Sc 0.000 0.000 0.000 1
Be1 Be 0.000 0.000 0.500 1
Be2 Be 0.000 0.500 0.750 1
Os1 Os 0.000 0.500 0.250 1
```

***

[3]
# ScBe2Os

A geometry-optimized ScBe2Os structure (PBE, Alexandria).

Results
- Calculated formation energy: -0.039 eV/atom
- Total DFT energy (no corrections): -6.29 eV per atom
- Energy relative to the lowest polymorph listed for this composition: 0.231 eV per atom

Structure (CIF):
```
data_ScBe2Os
_chemical_formula_sum 'Sc1 Be2 Os1'
_cell_length_a 3.010
_cell_length_b 3.010
_cell_length_c 6.064
_cell_angle_alpha 90.00
_cell_angle_beta 90.00
_cell_angle_gamma 90.00
_symmetry_space_group_name_H-M 'P 4 m m'
_symmetry_Int_Tables_number 99
loop_
_symmetry_equiv_pos_as_xyz
'x,y,z'
'-y,x,z'
'-x,-y,z'
'y,-x,z'
'-x,y,z'
'y,x,z'
'x,-y,z'
'-y,-x,z'
loop_
_atom_site_label
_atom_site_type_symbol
_atom_site_fract_x
_atom_site_fract_y
_atom_site_fract_z
_atom_site_occupancy
Sc1 Sc 0.000 0.000 0.000 1
Be1 Be 0.000 0.000 0.525 1
Be2 Be 0.500 0.500 0.338 1
Os1 Os 0.500 0.500 0.710 1
```

***

[4]
# Sc3BeOs

A geometry-optimized Sc3BeOs structure (PBE, Alexandria).

Results
- Calculated formation energy: 0.401 eV/atom
- Total DFT energy (no corrections): -6.39 eV per atom
- Energy relative to the lowest polymorph listed for this composition: 0.000 eV per atom

Structure (CIF):
```
data_Sc3BeOs
_chemical_formula_sum 'Sc3 Be1 Os1'
_cell_length_a 4.990
_cell_length_b 4.990
_cell_length_c 4.990
_cell_angle_alpha 90.00
_cell_angle_beta 90.00
_cell_angle_gamma 90.00
_symmetry_space_group_name_H-M 'P m -3 m'
_symmetry_Int_Tables_number 221
_symmetry_space_group_name_Hall '-P 4 2 3'
loop_
_atom_site_label
_atom_site_type_symbol
_atom_site_fract_x
_atom_site_fract_y
_atom_site_fract_z
_atom_site_occupancy
Sc1 Sc 0.000 0.000 0.500 1
Be1 Be 0.500 0.500 0.500 1
Os1 Os 0.000 0.000 0.000 1
```

***

[5]
# ScBe2Os

A geometry-optimized ScBe2Os structure (PBE, Alexandria).

Results
- Calculated formation energy: -0.192 eV/atom
- Total DFT energy (no corrections): -6.45 eV per atom
- Energy relative to the lowest polymorph listed for this composition: 0.078 eV per atom

Structure (CIF):
```
data_ScBe2Os
_chemical_formula_sum 'Sc4 Be8 Os4'
_cell_length_a 5.858
_cell_length_b 5.858
_cell_length_c 5.858
_cell_angle_alpha 90.00
_cell_angle_beta 90.00
_cell_angle_gamma 90.00
_symmetry_space_group_name_H-M 'F m -3 m'
_symmetry_Int_Tables_number 225
_symmetry_space_group_name_Hall '-F 4 2 3'
loop_
_atom_site_label
_atom_site_type_symbol
_atom_site_fract_x
_atom_site_fract_y
_atom_site_fract_z
_atom_site_occupancy
Sc1 Sc 0.000 0.000 0.000 1
Be1 Be 0.250 0.250 0.250 1
Os1 Os 0.000 0.000 0.500 1
```

***

[6]
# ScBe2Os

A geometry-optimized ScBe2Os structure (PBE, Alexandria).

Results
- Calculated formation energy: -0.140 eV/atom
- Total DFT energy (no corrections): -6.39 eV per atom
- Energy relative to the lowest polymorph listed for this composition: 0.129 eV per atom

Structure (CIF):
```
data_ScBe2Os
_chemical_formula_sum 'Sc3 Be6 Os3'
_cell_length_a 3.7899
_cell_length_b 3.7899
_cell_length_c 13.7978
_cell_angle_alpha 90.00
_cell_angle_beta 90.00
_cell_angle_gamma 120.00
_symmetry_space_group_name_H-M 'R 3 m'
_symmetry_Int_Tables_number 160
_symmetry_space_group_name_Hall 'R 3 -2"'
loop_
_atom_site_label
_atom_site_type_symbol
_atom_site_fract_x
_atom_site_fract_y
_atom_site_fract_z
_atom_site_occupancy
Sc1 Sc 0.0000 0.0000 0.0000 1
Be1 Be 0.0000 0.0000 0.4824 1
Be2 Be 0.0000 0.0000 0.8077 1
Os1 Os 0.0000 0.0000 0.2016 1
```

***

Number 1: M_tot 0.0 μB/f.u.. Number 2: M_tot 0.3 μB/f.u.. Number 3: M_tot 0.0 μB/f.u.. Number 4: M_tot 0.0 μB/f.u.. Number 5: M_tot 0.0 μB/f.u.. Number 6: M_tot 0.0 μB/f.u..